## Pm12Zn3Sn5 (GGA-PBE)

Data for a geometry-optimized Pm12Zn3Sn5 structure.

Results
D(E_F) = 1.3066 states/eV/atom
Energy relative to the elements = 0.0560 eV/atom
Total DFT energy (no corrections) = -0.2930 Ry per atom
Crystal system = cubic
Volume = 36.7 A^3/atom

Lattice parameters (Å, degrees): 15.6303 15.6303 15.6303 109.47 109.47 109.47
Fractional coordinates of all 80 atoms:
Pm1 0.0606 0.2270 0.1314
Pm2 0.0606 0.3336 0.9291
Pm3 0.0709 0.6314 0.4044
Pm4 0.0709 0.9394 0.6664
Pm5 0.0956 0.7270 0.6664
Pm6 0.0956 0.8686 0.4291
Pm7 0.1314 0.0606 0.2270
Pm8 0.1314 0.5709 0.9044
Pm9 0.1664 0.2270 0.5956
Pm10 0.1664 0.4394 0.5709
Pm11 0.2270 0.1314 0.0606
Pm12 0.2270 0.5956 0.1664
Pm13 0.2730 0.3336 0.9044
Pm14 0.2730 0.4394 0.3686
Pm15 0.3336 0.9044 0.2730
Pm16 0.3336 0.9291 0.0606
Pm17 0.3686 0.2730 0.4394
Pm18 0.3686 0.5956 0.9291
Pm19 0.4044 0.0709 0.6314
Pm20 0.4044 0.8336 0.7730
Pm21 0.4291 0.0956 0.8686
Pm22 0.4291 0.8336 0.5606
Pm23 0.4394 0.3686 0.2730
Pm24 0.4394 0.5709 0.1664
Pm25 0.5606 0.4291 0.8336
Pm26 0.5606 0.6314 0.7270
Pm27 0.5709 0.1664 0.4394
Pm28 0.5709 0.9044 0.1314
Pm29 0.5956 0.1664 0.2270
Pm30 0.5956 0.9291 0.3686
Pm31 0.6314 0.4044 0.0709
Pm32 0.6314 0.7270 0.5606
Pm33 0.6664 0.0709 0.9394
Pm34 0.6664 0.0956 0.7270
Pm35 0.7270 0.5606 0.6314
Pm36 0.7270 0.6664 0.0956
Pm37 0.7730 0.4044 0.8336
Pm38 0.7730 0.8686 0.9394
Pm39 0.8336 0.5606 0.4291
Pm40 0.8336 0.7730 0.4044
Pm41 0.8686 0.4291 0.0956
Pm42 0.8686 0.9394 0.7730
Pm43 0.9044 0.1314 0.5709
Pm44 0.9044 0.2730 0.3336
Pm45 0.9291 0.0606 0.3336
Pm46 0.9291 0.3686 0.5956
Pm47 0.9394 0.6664 0.0709
Pm48 0.9394 0.7730 0.8686
Zn1 0.1250 0.2500 0.3750
Zn2 0.1250 0.3750 0.7500
Zn3 0.2500 0.3750 0.1250
Zn4 0.2500 0.8750 0.6250
Zn5 0.3750 0.1250 0.2500
Zn6 0.3750 0.7500 0.1250
Zn7 0.6250 0.2500 0.8750
Zn8 0.6250 0.8750 0.7500
Zn9 0.7500 0.1250 0.3750
Zn10 0.7500 0.6250 0.8750
Zn11 0.8750 0.6250 0.2500
Zn12 0.8750 0.7500 0.6250
Sn1 0.0000 0.0000 0.0000
Sn2 0.0000 0.0000 0.5000
Sn3 0.0000 0.5000 0.0000
Sn4 0.0000 0.5000 0.5000
Sn5 0.1250 0.7500 0.8750
Sn6 0.1250 0.8750 0.2500
Sn7 0.2500 0.1250 0.8750
Sn8 0.2500 0.6250 0.3750
Sn9 0.3750 0.2500 0.6250
Sn10 0.3750 0.6250 0.7500
Sn11 0.5000 0.0000 0.0000
Sn12 0.5000 0.0000 0.5000
Sn13 0.5000 0.5000 0.0000
Sn14 0.5000 0.5000 0.5000
Sn15 0.6250 0.3750 0.2500
Sn16 0.6250 0.7500 0.3750
Sn17 0.7500 0.3750 0.6250
Sn18 0.7500 0.8750 0.1250
Sn19 0.8750 0.1250 0.7500
Sn20 0.8750 0.2500 0.1250